[1]
The following is a GGA-PBE calculation of a geometry-optimized K2In2Ag structure, from Alexandria via LeMat-Bulk.

Cell and atoms, written as POSCAR:
```
K2In2Ag
1.0
5.4805 -4.2843 0.0000
5.4805 4.2843 0.0000
0.0000 0.0000 8.2710
K In Ag
4 4 2
direct
0.1940 0.1940 0.0000
0.1940 0.1940 0.5000
0.8060 0.8060 0.0000
0.8060 0.8060 0.5000
0.3338 0.6662 0.5812
0.3338 0.6662 0.9188
0.6662 0.3338 0.0812
0.6662 0.3338 0.4188
0.3597 0.6403 0.2500
0.6403 0.3597 0.7500
```

Its total energy is -21.3 eV per cell. The space-group type is Cmcm, No. 63. The value obtained for the energy relative to the lowest polymorph listed for this composition is 0 meV/atom.


[2]
The following is a GGA-PBE calculation of a geometry-optimized PmEuDyCd structure, from Alexandria via LeMat-Bulk.

Cell and atoms, written as POSCAR:
```
PmEuDyCd
1.0
0.0000 3.9561 3.9561
3.9561 0.0000 3.9561
3.9561 3.9561 0.0000
Pm Eu Dy Cd
1 1 1 1
direct
0.0000 0.0000 0.0000
0.2500 0.2500 0.2500
0.7500 0.7500 0.7500
0.5000 0.5000 0.5000
```

Its total energy is -20.4 eV per cell. The space-group type is F-43m, No. 216.


[3]
The following is a GGA-PBE calculation of a geometry-optimized Y3TmRh4 structure, from Alexandria via LeMat-Bulk.

Cell and atoms, written as POSCAR:
```
Y3TmRh4
1.0
7.2775 -2.4155 0.0000
7.2775 2.4155 0.0000
-1.5958 0.0000 4.5600
Y Tm Rh
3 1 4
direct
0.0000 0.0000 0.0000
0.2506 0.2506 0.2506
0.7494 0.7494 0.7494
0.5000 0.5000 0.5000
0.1233 0.1233 0.6233
0.3767 0.3767 0.8766
0.6233 0.6233 0.1234
0.8767 0.8767 0.3767
```

Its total energy is -60.3 eV per cell. The space-group type is C2/m, No. 12.


[4]
The following is a GGA-PBE calculation of a geometry-optimized MnBe17W structure, from Alexandria via LeMat-Bulk.

Cell and atoms, written as POSCAR:
```
MnBe17W
1.0
3.6198 2.0899 3.5213
-3.6198 2.0899 3.5213
0.0000 -4.1798 3.5213
Mn Be W
1 17 1
direct
0.0000 0.0000 0.0000
0.0416 0.3383 0.6461
0.0416 0.6461 0.3383
0.1765 0.6919 0.6919
0.2386 0.2386 0.2386
0.3383 0.0416 0.6461
0.3383 0.6461 0.0416
0.3483 0.3483 0.8388
0.3483 0.8388 0.3483
0.4418 0.4418 0.4418
0.4988 0.9930 0.9930
0.6461 0.0416 0.3383
0.6461 0.3383 0.0416
0.6919 0.1765 0.6919
0.6919 0.6919 0.1765
0.8388 0.3483 0.3483
0.9930 0.4988 0.9930
0.9930 0.9930 0.4988
0.6818 0.6818 0.6818
```

Its total energy is -87.5 eV per cell. The space-group type is R3m, No. 160.


[5]
The following is a GGA-PBE calculation of a geometry-optimized Cr5Rh4 structure, from Alexandria via LeMat-Bulk.

Cell and atoms, written as POSCAR:
```
Cr5Rh4
1.0
7.2782 0.0000 0.0000
-3.6391 6.3031 0.0000
0.0000 0.0000 5.2794
Cr Rh
10 8
direct
0.0000 0.3356 0.2500
0.0000 0.6644 0.7500
0.3333 0.6667 0.0000
0.3333 0.6667 0.5000
0.3356 0.0000 0.2500
0.3356 0.3356 0.7500
0.6644 0.0000 0.7500
0.6644 0.6644 0.2500
0.6667 0.3333 0.0000
0.6667 0.3333 0.5000
0.0000 0.0000 0.0000
0.0000 0.0000 0.5000
0.0000 0.3376 0.7500
0.0000 0.6624 0.2500
0.3376 0.0000 0.7500
0.3376 0.3376 0.2500
0.6624 0.0000 0.2500
0.6624 0.6624 0.7500
```

Its total energy is -154.1 eV per cell. The space-group type is P6_3/mcm, No. 193. The value obtained for the energy relative to the lowest polymorph listed for this composition is 21 meV/atom.


[6]
The following is a GGA-PBE calculation of a geometry-optimized NaPrWN3 structure, from Alexandria via LeMat-Bulk.

Cell and atoms, written as POSCAR:
```
NaPrWN3
1.0
7.0149 -1.9589 0.0000
7.0149 1.9589 0.0000
-2.0349 0.0000 6.9368
Na Pr W N
2 2 2 6
direct
0.1404 0.1404 0.0759
0.8596 0.8596 0.9241
0.1666 0.1666 0.6151
0.8334 0.8334 0.3849
0.4927 0.4927 0.6968
0.5073 0.5073 0.3032
0.0122 0.0122 0.3265
0.3462 0.3462 0.6606
0.3670 0.3670 0.1763
0.6330 0.6330 0.8237
0.6538 0.6538 0.3394
0.9878 0.9878 0.6735
```

Its total energy is -94.5 eV per cell. The space-group type is C2/m, No. 12. For the formation energy without anion corrections, the calculation gives -0.54 eV per atom.


[7]
The following is a GGA-PBE calculation of a geometry-optimized Tb6Cu2Ru structure, from Alexandria via LeMat-Bulk.

Cell and atoms, written as POSCAR:
```
Tb6Cu2Ru
1.0
6.5096 0.0000 0.0000
0.0000 7.3612 0.0000
-5.9994 0.0000 9.9504
Tb Cu Ru
12 4 2
direct
0.1027 0.0294 0.2494
0.1027 0.4706 0.7494
0.2181 0.6764 0.0707
0.2181 0.8236 0.5707
0.3845 0.1764 0.0617
0.3845 0.3236 0.5617
0.6155 0.6764 0.4383
0.6155 0.8236 0.9383
0.7819 0.1764 0.4293
0.7819 0.3236 0.9293
0.8973 0.5294 0.2506
0.8973 0.9706 0.7506
0.3176 0.1204 0.7569
0.3176 0.3796 0.2569
0.6824 0.6204 0.7431
0.6824 0.8796 0.2431
0.5000 0.0000 0.5000
0.5000 0.5000 0.0000
```

Its total energy is -93.2 eV per cell. The space-group type is P2_1/c, No. 14.


[8]
The following is a GGA-PBE calculation of a geometry-optimized HfV3Ag structure, from Alexandria via LeMat-Bulk.

Cell and atoms, written as POSCAR:
```
HfV3Ag
1.0
4.6940 0.0000 0.0000
0.0000 4.6940 0.0000
0.0000 0.0000 4.6940
Hf V Ag
1 3 1
direct
0.0000 0.0000 0.0000
0.0000 0.0000 0.5000
0.0000 0.5000 0.0000
0.5000 0.0000 0.0000
0.5000 0.5000 0.5000
```

Its total energy is -31.8 eV per cell. The space-group type is Pm-3m, No. 221. The value obtained for the energy relative to the lowest polymorph listed for this composition is 74 meV/atom.


[9]
The following is a GGA-PBE calculation of a geometry-optimized TiOsRu3 structure, from Alexandria via LeMat-Bulk.

Cell and atoms, written as POSCAR:
```
TiOsRu3
1.0
4.6379 0.0000 0.0000
0.0000 4.6379 0.0000
0.0000 0.0000 4.6379
Ti Os Ru
1 1 3
direct
0.0000 0.0000 0.0000
0.5000 0.5000 0.5000
0.0000 0.5000 0.5000
0.5000 0.0000 0.5000
0.5000 0.5000 0.0000
```

Its total energy is -39.5 eV per cell. The space-group type is Pm-3m, No. 221. The value obtained for the energy relative to the lowest polymorph listed for this composition is 0 meV/atom.


[10]
The following is a GGA-PBE calculation of a geometry-optimized Tb2ScC2I2 structure, from Alexandria via LeMat-Bulk.

Cell and atoms, written as POSCAR:
```
Tb2ScC2I2
1.0
-2.1252 2.1252 10.2991
2.1252 -2.1252 10.2991
2.1252 2.1252 -10.2991
Tb Sc C I
2 1 2 2
direct
0.0738 0.0738 0.0000
0.9262 0.9262 0.0000
0.5000 0.5000 0.0000
0.0000 0.5000 0.5000
0.5000 0.0000 0.5000
0.3438 0.3438 0.0000
0.6562 0.6562 0.0000
```

Its total energy is -41.5 eV per cell. The space-group type is I4/mmm, No. 139. For the formation energy without anion corrections, the calculation gives -0.62 eV per atom.


[11]
The following is a GGA-PBE calculation of a geometry-optimized NaIn9Bi2 structure, from Alexandria via LeMat-Bulk.

Cell and atoms, written as POSCAR:
```
NaIn9Bi2
1.0
4.9955 0.0000 0.0000
0.0000 4.9955 0.0000
0.0000 0.0000 13.4953
Na In Bi
1 9 2
direct
0.0000 0.0000 0.0000
0.0000 0.5000 0.1589
0.0000 0.5000 0.5000
0.0000 0.5000 0.8411
0.5000 0.0000 0.1589
0.5000 0.0000 0.5000
0.5000 0.0000 0.8411
0.5000 0.5000 0.0000
0.5000 0.5000 0.3310
0.5000 0.5000 0.6690
0.0000 0.0000 0.3257
0.0000 0.0000 0.6743
```

Its total energy is -34.0 eV per cell. The space-group type is P4/mmm, No. 123.


Computed M_tot, in the same sequence as the records: 0.00; 1.84; 0.00; 0.11; 0.03; 0.00; 0.00; 0.72; 0.00; 0.00; 0.00 μB per atom.